Compound: CdFe2Mo
Source: Alexandria
Functional: PBE
Structure: relaxed

The value obtained for the total energy is -6.817 eV/atom. As for the total magnetization: 4.1 μB/f.u. For the energy of formation from the pure elements, the calculation gives 0.351 eV per atom.

The space group is R3m (No. 160, hexagonal axes) and the conventional cell measures 2.7936, 2.7936 and 26.5240 Å, with angles of 90.00, 90.00 and 120.00 degrees. Symmetry generates all atoms from Cd at (0.0000, 0.0000, 0.0000), Fe at (0.0000, 0.0000, 0.2438), Fe at (0.0000, 0.0000, 0.5089) and Mo at (0.0000, 0.0000, 0.7648).

***

Compound: CdFe2Mo
Source: Alexandria
Functional: PBE
Structure: relaxed

The value obtained for the total energy is -6.734 eV/atom. As for the total magnetization: 4.1 μB/f.u. For the energy of formation from the pure elements, the calculation gives 0.434 eV per atom.

The space group is Cmmm (No. 65) and the conventional cell measures 5.804, 7.341 and 2.756 Å, with angles of 90.00, 90.00 and 90.00 degrees. Symmetry generates all atoms from Cd at (0.000, 0.000, 0.000), Fe at (0.250, 0.250, 0.500) and Mo at (0.000, 0.500, 0.000).

***

Compound: Cd2FeMo
Source: Alexandria
Functional: PBE
Structure: relaxed

The value obtained for the total energy is -4.794 eV/atom. As for the total magnetization: 2.7 μB/f.u. The energy relative to the lowest polymorph listed for this composition comes out at 25.4 kJ per mole of atoms. For the energy of formation from the pure elements, the calculation gives 0.487 eV per atom.

The space group is R-3m (No. 166, hexagonal axes) and the conventional cell measures 2.8721, 2.8721 and 28.8473 Å, with angles of 90.00, 90.00 and 120.00 degrees. Symmetry generates all atoms from Cd at (0.0000, 0.0000, 0.2470), Fe at (0.0000, 0.0000, 0.5000) and Mo at (0.0000, 0.0000, 0.0000).

***

Compound: CdFeMo
Source: Alexandria
Functional: PBE
Structure: relaxed

The value obtained for the total energy is -6.298 eV/atom. As for the total magnetization: 1.6 μB/f.u. The energy relative to the lowest polymorph listed for this composition comes out at 12.3 kJ per mole of atoms. For the energy of formation from the pure elements, the calculation gives 0.438 eV per atom.

The space group is P3m1 (No. 156) and the conventional cell measures 4.4731, 4.4731 and 2.7065 Å, with angles of 90.00, 90.00 and 120.00 degrees. Symmetry generates all atoms from Cd at (0.0000, 0.0000, 0.0000), Fe at (0.3333, 0.6667, 0.3313) and Mo at (0.6667, 0.3333, 0.5503).

***

Compound: Cd2FeMo
Source: Alexandria
Functional: PBE
Structure: relaxed

The value obtained for the total energy is -4.821 eV/atom. As for the total magnetization: 2.9 μB/f.u. The energy relative to the lowest polymorph listed for this composition comes out at 22.8 kJ per mole of atoms. For the energy of formation from the pure elements, the calculation gives 0.460 eV per atom.

The space group is C2/m (No. 12) and the conventional cell measures 5.648, 8.886 and 2.728 Å, with angles of 90.00, 90.16 and 90.00 degrees. Symmetry generates all atoms from Cd at (0.250, 0.250, 0.000), Fe at (0.000, 0.000, 0.500) and Mo at (0.000, 0.500, 0.500).

***

Compound: Cd2FeMo
Source: Alexandria
Functional: PBE
Structure: relaxed

The value obtained for the total energy is -4.724 eV/atom. As for the total magnetization: 0.9 μB/f.u. The energy relative to the lowest polymorph listed for this composition comes out at 32.2 kJ per mole of atoms. For the energy of formation from the pure elements, the calculation gives 0.557 eV per atom.

The space group is F-43m (No. 216) and the conventional cell measures 6.482, 6.482 and 6.482 Å, with angles of 90.00, 90.00 and 90.00 degrees. Symmetry generates all atoms from Cd at (0.000, 0.000, 0.000), Cd at (0.250, 0.250, 0.250), Fe at (0.250, 0.250, 0.750) and Mo at (0.000, 0.000, 0.500).

***

Compound: CdFe3Mo
Source: Alexandria
Functional: PBE
Structure: relaxed

The value obtained for the total energy is -6.096 eV/atom. As for the total magnetization: 4.7 μB/f.u. For the energy of formation from the pure elements, the calculation gives 1.331 eV per atom.

The space group is Pm-3m (No. 221) and the conventional cell measures 4.491, 4.491 and 4.491 Å, with angles of 90.00, 90.00 and 90.00 degrees. Symmetry generates all atoms from Cd at (0.000, 0.000, 0.000), Fe at (0.000, 0.500, 0.500) and Mo at (0.500, 0.500, 0.500).

***

Compound: CdFe2Mo
Source: Alexandria
Functional: PBE
Structure: relaxed

The value obtained for the total energy is -6.796 eV/atom. As for the total magnetization: 3.6 μB/f.u. For the energy of formation from the pure elements, the calculation gives 0.372 eV per atom.

The space group is Cm (No. 8) and the conventional cell measures 9.624, 2.815 and 4.565 Å, with angles of 90.00, 109.79 and 90.00 degrees. Symmetry generates all atoms from Cd at (0.000, 0.000, 0.000), Fe at (0.030, 0.500, 0.522), Fe at (0.238, 0.000, 0.778) and Mo at (0.282, 0.500, 0.326).